Record 1
A plane-wave DFT calculation with PBE-GGA was carried out for a relaxed structure of Ce3Pu2Sn3.

Computed properties:
The space-group type is P6_3/mcm, No. 193. The value obtained for the total energy is -0.285 hartree per atom. The value obtained for the formation enthalpy at 0 K is -434 meV per atom. The spin magnetization is 15.97 μB per formula unit.

Cell and atoms, written as POSCAR:
```
Ce3Pu2Sn3
1.0
9.404 0.000 0.000
-4.702 8.144 0.000
0.000 0.000 6.361
Ce Pu Sn
6 4 6
Direct
0.000 0.282 0.250 Ce
0.000 0.718 0.750 Ce
0.282 0.000 0.250 Ce
0.282 0.282 0.750 Ce
0.718 0.000 0.750 Ce
0.718 0.718 0.250 Ce
0.333 0.667 0.000 Pu
0.333 0.667 0.500 Pu
0.667 0.333 0.000 Pu
0.667 0.333 0.500 Pu
0.000 0.373 0.750 Sn
0.000 0.627 0.250 Sn
0.373 0.000 0.750 Sn
0.373 0.373 0.250 Sn
0.627 0.000 0.250 Sn
0.627 0.627 0.750 Sn
```

---

Record 2
A plane-wave DFT calculation with PBE-GGA was carried out for a relaxed structure of Ce3SmAl8.

Computed properties:
The space-group type is P3m1, No. 156. The value obtained for the total energy is -0.178 hartree per atom. For the polymorph energy (0 for the lowest one), the calculation gives 6 meV per atom. The value obtained for the formation enthalpy at 0 K is -462 meV per atom. The spin magnetization is 1.17 μB per formula unit.

Cell and atoms, written as POSCAR:
```
Ce3SmAl8
1.0
5.643 0.000 0.000
-2.821 4.887 0.000
0.000 0.000 9.072
Ce Sm Al
3 1 8
Direct
0.000 0.000 0.000 Ce
0.000 0.000 0.324 Ce
0.333 0.667 0.846 Ce
0.333 0.667 0.484 Sm
0.010 0.505 0.163 Al
0.323 0.162 0.663 Al
0.495 0.505 0.163 Al
0.495 0.990 0.163 Al
0.667 0.333 0.411 Al
0.667 0.333 0.912 Al
0.838 0.162 0.663 Al
0.838 0.677 0.663 Al
```

---

Record 3
A plane-wave DFT calculation with PBE-GGA was carried out for a relaxed structure of Pr2TlIrO8.

Computed properties:
The space-group type is P-1, No. 2. The value obtained for the total energy is -0.247 hartree per atom. The spin magnetization is 1.84 μB per formula unit. The formation energy without anion corrections comes out at -1.686 eV per atom.

Cell and atoms, written as POSCAR:
```
Pr2TlIrO8
1.0
4.759 0.000 0.000
-0.377 4.954 0.000
-0.331 -0.326 7.540
Pr Tl Ir O
2 1 1 8
Direct
0.074 0.048 0.261 Pr
0.926 0.952 0.739 Pr
0.500 0.500 0.000 Tl
0.500 0.500 0.500 Ir
0.199 0.195 0.977 O
0.205 0.243 0.550 O
0.273 0.619 0.301 O
0.375 0.754 0.678 O
0.625 0.246 0.322 O
0.727 0.381 0.699 O
0.795 0.757 0.450 O
0.801 0.805 0.023 O
```

---

Record 4
A plane-wave DFT calculation with PBE-GGA was carried out for a relaxed structure of PrScCdRh.

Computed properties:
The space-group type is F-43m, No. 216. The value obtained for the total energy is -0.193 hartree per atom. The value obtained for the formation enthalpy at 0 K is -413 meV per atom. The spin magnetization is 0.00 μB per formula unit.

Cell and atoms, written as POSCAR:
```
PrScCdRh
1.0
0.000 3.564 3.564
3.564 0.000 3.564
3.564 3.564 0.000
Pr Sc Cd Rh
1 1 1 1
Direct
0.000 0.000 0.000 Pr
0.500 0.500 0.500 Sc
0.250 0.250 0.250 Cd
0.750 0.750 0.750 Rh
```

---

Record 5
A plane-wave DFT calculation with PBE-GGA was carried out for a relaxed structure of Cu8Ni4Pt.

Computed properties:
The space-group type is R-3m, No. 166. The value obtained for the total energy is -0.169 hartree per atom. The value obtained for the formation enthalpy at 0 K is 163 meV per atom. The spin magnetization is 1.24 μB per formula unit.

Cell and atoms, written as POSCAR:
```
Cu8Ni4Pt
1.0
2.478 1.431 7.980
-2.478 1.431 7.980
0.000 -2.861 7.980
Cu Ni Pt
8 4 1
Direct
0.183 0.183 0.183 Cu
0.242 0.745 0.745 Cu
0.255 0.255 0.758 Cu
0.255 0.758 0.255 Cu
0.745 0.242 0.745 Cu
0.745 0.745 0.242 Cu
0.758 0.255 0.255 Cu
0.817 0.817 0.817 Cu
0.000 0.500 0.500 Ni
0.500 0.000 0.500 Ni
0.500 0.500 0.000 Ni
0.500 0.500 0.500 Ni
0.000 0.000 0.000 Pt
```

---

Record 6
A plane-wave DFT calculation with PBE-GGA was carried out for a relaxed structure of Li2HfB2O6.

Computed properties:
The space-group type is P-3, No. 147. The value obtained for the total energy is -0.288 hartree per atom. The spin magnetization is 0.00 μB per formula unit. The formation energy without anion corrections comes out at -2.653 eV per atom.

Cell and atoms, written as POSCAR:
```
Li2HfB2O6
1.0
4.936 0.000 0.000
-2.468 4.275 0.000
0.000 0.000 6.110
Li Hf B O
2 1 2 6
Direct
0.333 0.667 0.284 Li
0.667 0.333 0.716 Li
0.000 0.000 0.000 Hf
0.333 0.667 0.798 B
0.667 0.333 0.202 B
0.068 0.696 0.798 O
0.304 0.372 0.798 O
0.372 0.068 0.202 O
0.628 0.932 0.798 O
0.696 0.628 0.202 O
0.932 0.304 0.202 O
```

---

Record 7
A plane-wave DFT calculation with PBE-GGA was carried out for a relaxed structure of MgCd4Hg5.

Computed properties:
The space-group type is I4, No. 79. The value obtained for the total energy is -0.025 hartree per atom. For the polymorph energy (0 for the lowest one), the calculation gives 18 meV per atom. The value obtained for the formation enthalpy at 0 K is 0 meV per atom. The spin magnetization is 0.00 μB per formula unit.

Cell and atoms, written as POSCAR:
```
MgCd4Hg5
1.0
-4.573 4.573 3.037
4.573 -4.573 3.037
4.573 4.573 -3.037
Mg Cd Hg
1 4 5
Direct
0.000 0.000 0.000 Mg
0.027 0.809 0.379 Cd
0.430 0.647 0.621 Cd
0.647 0.027 0.218 Cd
0.809 0.430 0.782 Cd
0.127 0.497 0.177 Hg
0.320 0.950 0.823 Hg
0.497 0.320 0.370 Hg
0.519 0.519 0.000 Hg
0.950 0.127 0.630 Hg
```

---

Record 8
A plane-wave DFT calculation with PBE-GGA was carried out for a relaxed structure of ScRuW2.

Computed properties:
The space-group type is P2/m, No. 10. The value obtained for the total energy is -0.380 hartree per atom. For the polymorph energy (0 for the lowest one), the calculation gives 95 meV per atom. The value obtained for the formation enthalpy at 0 K is 44 meV per atom. The spin magnetization is 0.00 μB per formula unit.

Cell and atoms, written as POSCAR:
```
ScRuW2
1.0
2.832 0.000 0.000
0.000 4.555 0.000
-1.110 0.000 5.054
Sc Ru W
1 1 2
Direct
0.000 0.000 0.000 Sc
0.500 0.000 0.500 Ru
0.265 0.500 0.751 W
0.735 0.500 0.249 W
```

---

Record 9
A plane-wave DFT calculation with PBE-GGA was carried out for a relaxed structure of Zr4Cu2Os.

Computed properties:
The space-group type is R-3m, No. 166. The value obtained for the total energy is -0.286 hartree per atom. The value obtained for the formation enthalpy at 0 K is -116 meV per atom. The spin magnetization is 0.00 μB per formula unit.

Cell and atoms, written as POSCAR:
```
Zr4Cu2Os
1.0
2.298 1.327 7.338
-2.298 1.327 7.338
0.000 -2.653 7.338
Zr Cu Os
4 2 1
Direct
0.119 0.119 0.119 Zr
0.371 0.371 0.371 Zr
0.629 0.629 0.629 Zr
0.881 0.881 0.881 Zr
0.245 0.245 0.245 Cu
0.755 0.755 0.755 Cu
0.500 0.500 0.500 Os
```

---

Record 10
A plane-wave DFT calculation with PBE-GGA was carried out for a relaxed structure of PSCl2O.

Computed properties:
The space-group type is P4/mmm, No. 123. The value obtained for the total energy is -0.109 hartree per atom. For the polymorph energy (0 for the lowest one), the calculation gives 0 meV per atom. The spin magnetization is 2.54 μB per formula unit. The formation energy without anion corrections comes out at 0.681 eV per atom.

Cell and atoms, written as POSCAR:
```
PSCl2O
1.0
4.787 0.000 0.000
0.000 4.787 0.000
0.000 0.000 4.516
P S Cl O
1 1 2 1
Direct
0.000 0.000 0.000 P
0.000 0.000 0.500 S
0.000 0.500 0.000 Cl
0.500 0.000 0.000 Cl
0.500 0.500 0.500 O
```

---

Record 11
A plane-wave DFT calculation with PBE-GGA was carried out for a relaxed structure of NpGeN.

Computed properties:
The space-group type is P-6m2, No. 187. The value obtained for the total energy is -0.329 hartree per atom. For the polymorph energy (0 for the lowest one), the calculation gives 440 meV per atom. The spin magnetization is 2.37 μB per formula unit. The formation energy without anion corrections comes out at -0.321 eV per atom.

Cell and atoms, written as POSCAR:
```
NpGeN
1.0
3.694 0.000 0.000
-1.847 3.199 0.000
0.000 0.000 4.606
Np Ge N
1 1 1
Direct
0.000 0.000 0.000 Np
0.667 0.333 0.500 Ge
0.333 0.667 0.000 N
```

---

Record 12
A plane-wave DFT calculation with PBE-GGA was carried out for a relaxed structure of Y2AsSe.

Computed properties:
The space-group type is Amm2, No. 38. The value obtained for the total energy is -0.248 hartree per atom. For the polymorph energy (0 for the lowest one), the calculation gives 236 meV per atom. The spin magnetization is 0.00 μB per formula unit. The formation energy without anion corrections comes out at -1.489 eV per atom.

Cell and atoms, written as POSCAR:
```
Y2AsSe
1.0
4.156 0.000 0.000
0.000 1.980 6.074
0.000 -1.980 6.074
Y As Se
2 1 1
Direct
0.000 0.000 0.000 Y
0.500 0.278 0.278 Y
0.500 0.519 0.519 As
0.000 0.765 0.765 Se
```

---

Number 3 is which compound? Pr2TlIrO8

---

Which of these has the highest spin magnetization? Ce3Pu2Sn3

---

What is the spin magnetization in the second record? 1.17 μB per formula unit